<i>
# FeGe2Pd

Crystalline FeGe2Pd at its relaxed geometry (PBE-GGA, Alexandria).

Values from the calculation:
The density of states at the Fermi level comes out at 3.082 states/eV per cell. As for the total moment: 2.64 μB/f.u. As for the density: 7.81 g/cm³. The calculation puts the calculated volume at 16.34 Å³ per atom.

a b c (Å): 2.911 2.911 9.066
angles (deg): 80.76 80.76 60.00
Fractional coordinates of all 4 atoms:
Ge (0.910, 0.910, 0.270)
Pd (0.500, 0.500, 0.500)
Ge (0.090, 0.090, 0.730)
Fe (0.000, 0.000, 0.000)

---

<ii>
# FeGe2Pd

Crystalline FeGe2Pd at its relaxed geometry (PBE-GGA, Alexandria).

Values from the calculation:
The density of states at the Fermi level comes out at 3.105 states/eV per cell. As for the total moment: 0.25 μB/f.u. As for the density: 9.11 g/cm³. The calculation puts the calculated volume at 14.01 Å³ per atom.

a b c (Å): 2.914 2.914 6.599
angles (deg): 90.00 90.00 90.00
Fractional coordinates of all 4 atoms:
Ge (0.000, 0.000, 0.222)
Pd (0.500, 0.500, 0.500)
Fe (0.500, 0.500, 0.000)
Ge (0.000, 0.000, 0.778)

---

<iii>
# FeGe2Pd

Crystalline FeGe2Pd at its relaxed geometry (PBE-GGA, Alexandria).

Values from the calculation:
The density of states at the Fermi level comes out at 1.846 states/eV per cell. As for the total moment: 1.97 μB/f.u. As for the density: 8.77 g/cm³. The calculation puts the calculated volume at 14.55 Å³ per atom.

a b c (Å): 4.350 4.350 4.350
angles (deg): 60.00 60.00 60.00
Fractional coordinates of all 4 atoms:
Pd (0.500, 0.500, 0.500)
Ge (0.250, 0.250, 0.250)
Ge (0.750, 0.750, 0.750)
Fe (0.000, 0.000, 0.000)

---

<iv>
# FeGe2Pd

Crystalline FeGe2Pd at its relaxed geometry (PBE-GGA, Alexandria).

Values from the calculation:
The density of states at the Fermi level comes out at 8.655 states/eV per cell. As for the total moment: 1.06 μB/f.u. As for the density: 6.21 g/cm³. The calculation puts the calculated volume at 20.55 Å³ per atom.

a b c (Å): 5.476 5.476 6.712
angles (deg): 65.93 65.93 90.00
Fractional coordinates of all 8 atoms:
Ge (0.151, 0.625, 0.250)
Pd (0.750, 0.250, 0.500)
Fe (0.500, 0.500, 0.000)
Fe (0.250, 0.750, 0.500)
Pd (0.000, 0.000, 0.000)
Ge (0.599, 0.125, 0.250)
Ge (0.375, 0.401, 0.750)
Ge (0.875, 0.849, 0.750)

---

Tell me which of them is the most stable. Sure, it is <ii>.

---

<i>
# Pm4FeGe2

Crystalline Pm4FeGe2 at its relaxed geometry (PBE-GGA, Alexandria).

Values from the calculation:
The density of states at the Fermi level comes out at 5.052 states/eV per cell. As for the total moment: 0.61 μB/f.u. As for the density: 6.97 g/cm³. The calculation puts the calculated volume at 26.58 Å³ per atom.

a b c (Å): 4.964 4.964 9.179
angles (deg): 74.31 74.31 60.00
Fractional coordinates of all 7 atoms:
Ge (0.908, 0.908, 0.276)
Pm (0.375, 0.375, 0.876)
Pm (0.625, 0.625, 0.124)
Fe (0.000, 0.000, 0.000)
Pm (0.208, 0.208, 0.376)
Pm (0.792, 0.792, 0.624)
Ge (0.092, 0.092, 0.724)

---

<ii>
# Pm4FeGe2

Crystalline Pm4FeGe2 at its relaxed geometry (PBE-GGA, Alexandria).

Values from the calculation:
The density of states at the Fermi level comes out at 4.419 states/eV per cell. As for the total moment: 0.00 μB/f.u. As for the density: 6.83 g/cm³. The calculation puts the calculated volume at 27.12 Å³ per atom.

a b c (Å): 4.845 4.845 8.784
angles (deg): 106.01 106.01 90.00
Fractional coordinates of all 7 atoms:
Pm (0.820, 0.820, 0.640)
Ge (0.637, 0.637, 0.273)
Pm (0.180, 0.180, 0.360)
Pm (0.500, 0.000, 0.000)
Fe (0.000, 0.000, 0.000)
Ge (0.363, 0.363, 0.727)
Pm (0.000, 0.500, 0.000)

---

Tell me which of them is the most stable. Sure, it is <i>.

---

<i>
# FeGePt3

Crystalline FeGePt3 at its relaxed geometry (PBE-GGA, Alexandria).

Values from the calculation:
The density of states at the Fermi level comes out at 6.924 states/eV per cell. As for the total moment: 3.56 μB/f.u. As for the density: 11.98 g/cm³. The calculation puts the calculated volume at 19.78 Å³ per atom.

a b c (Å): 4.625 4.625 4.625
angles (deg): 90.00 90.00 90.00
Fractional coordinates of all 5 atoms:
Pt (0.500, 0.000, 0.000)
Pt (0.000, 0.500, 0.000)
Ge (0.000, 0.000, 0.000)
Pt (0.000, 0.000, 0.500)
Fe (0.500, 0.500, 0.500)

---

<ii>
# FeGePt3

Crystalline FeGePt3 at its relaxed geometry (PBE-GGA, Alexandria).

Values from the calculation:
The density of states at the Fermi level comes out at 4.297 states/eV per cell. As for the total moment: 3.80 μB/f.u. As for the density: 11.98 g/cm³. The calculation puts the calculated volume at 19.78 Å³ per atom.

a b c (Å): 4.624 4.624 4.624
angles (deg): 90.00 90.00 90.00
Fractional coordinates of all 5 atoms:
Pt (0.000, 0.500, 0.000)
Fe (0.000, 0.000, 0.000)
Pt (0.000, 0.000, 0.500)
Ge (0.500, 0.500, 0.500)
Pt (0.500, 0.000, 0.000)

---

Tell me which of them is the most stable. Sure, it is <i>.

---

<i>
# Fe3GePt

Crystalline Fe3GePt at its relaxed geometry (PBE-GGA, Alexandria).

Values from the calculation:
The density of states at the Fermi level comes out at 5.302 states/eV per cell. As for the total moment: 9.86 μB/f.u. As for the density: 7.00 g/cm³. The calculation puts the calculated volume at 20.64 Å³ per atom.

a b c (Å): 4.691 4.691 4.691
angles (deg): 90.00 90.00 90.00
Fractional coordinates of all 5 atoms:
Fe (0.000, 0.000, 0.500)
Pt (0.000, 0.000, 0.000)
Fe (0.500, 0.000, 0.000)
Fe (0.000, 0.500, 0.000)
Ge (0.500, 0.500, 0.500)

---

<ii>
# Fe3GePt

Crystalline Fe3GePt at its relaxed geometry (PBE-GGA, Alexandria).

Values from the calculation:
The density of states at the Fermi level comes out at 9.501 states/eV per cell. As for the total moment: 8.13 μB/f.u. As for the density: 8.75 g/cm³. The calculation puts the calculated volume at 16.52 Å³ per atom.

a b c (Å): 4.355 4.355 4.355
angles (deg): 90.00 90.00 90.00
Fractional coordinates of all 5 atoms:
Fe (0.500, 0.000, 0.000)
Pt (0.500, 0.500, 0.500)
Fe (0.000, 0.000, 0.500)
Fe (0.000, 0.500, 0.000)
Ge (0.000, 0.000, 0.000)

---

Tell me which of them is the most stable. Sure, it is <ii>.

---

<i>
# Pu3FeGe2

Crystalline Pu3FeGe2 at its relaxed geometry (PBE-GGA, Alexandria).

Values from the calculation:
The density of states at the Fermi level comes out at 26.900 states/eV per cell. As for the total moment: 3.44 μB/f.u. As for the density: 12.77 g/cm³. The calculation puts the calculated volume at 20.23 Å³ per atom.

a b c (Å): 6.122 6.091 7.812
angles (deg): 112.94 113.07 90.00
Fractional coordinates of all 12 atoms:
Pu (0.585, 0.358, 0.715)
Ge (0.918, 0.629, 0.258)
Ge (0.082, 0.371, 0.742)
Fe (0.000, 0.750, 0.000)
Pu (0.130, 0.858, 0.715)
Ge (0.660, 0.871, 0.742)
Pu (0.500, 0.750, 0.000)
Ge (0.340, 0.129, 0.258)
Pu (0.870, 0.142, 0.285)
Pu (0.500, 0.250, 0.000)
Fe (0.000, 0.250, 0.000)
Pu (0.415, 0.642, 0.285)

---

<ii>
# Pu3FeGe2

Crystalline Pu3FeGe2 at its relaxed geometry (PBE-GGA, Alexandria).

Values from the calculation:
The density of states at the Fermi level comes out at 67.838 states/eV per cell. As for the total moment: 13.98 μB/f.u. As for the density: 12.26 g/cm³. The calculation puts the calculated volume at 21.07 Å³ per atom.

a b c (Å): 4.341 9.736 11.966
angles (deg): 90.00 90.00 90.00
Fractional coordinates of all 24 atoms:
Pu (0.750, 0.272, 0.754)
Ge (0.750, 0.969, 0.699)
Ge (0.750, 0.531, 0.199)
Pu (0.250, 0.728, 0.246)
Fe (0.250, 0.144, 0.107)
Pu (0.250, 0.101, 0.548)
Fe (0.750, 0.856, 0.893)
Ge (0.750, 0.196, 0.002)
Pu (0.250, 0.399, 0.048)
Ge (0.250, 0.031, 0.301)
Ge (0.750, 0.304, 0.502)
Pu (0.750, 0.899, 0.452)
Ge (0.250, 0.804, 0.998)
Pu (0.250, 0.437, 0.367)
Fe (0.750, 0.644, 0.393)
Ge (0.250, 0.696, 0.498)
Fe (0.250, 0.356, 0.607)
Pu (0.250, 0.772, 0.746)
Ge (0.250, 0.469, 0.801)
Pu (0.750, 0.601, 0.952)
Pu (0.250, 0.063, 0.867)
Pu (0.750, 0.937, 0.133)
Pu (0.750, 0.563, 0.633)
Pu (0.750, 0.228, 0.254)

---

Tell me which of them is the most stable. Sure, it is <ii>.

---

<i>
# RbFe3Ge

Crystalline RbFe3Ge at its relaxed geometry (PBE-GGA, Alexandria).

Values from the calculation:
The density of states at the Fermi level comes out at 6.595 states/eV per cell. As for the total moment: 8.84 μB/f.u. As for the density: 4.91 g/cm³. The calculation puts the calculated volume at 22.00 Å³ per atom.

a b c (Å): 4.792 4.792 4.792
angles (deg): 90.00 90.00 90.00
Fractional coordinates of all 5 atoms:
Fe (0.000, 0.000, 0.500)
Fe (0.000, 0.500, 0.000)
Fe (0.500, 0.000, 0.000)
Rb (0.500, 0.500, 0.500)
Ge (0.000, 0.000, 0.000)

---

<ii>
# RbFe3Ge

Crystalline RbFe3Ge at its relaxed geometry (PBE-GGA, Alexandria).

Values from the calculation:
The density of states at the Fermi level comes out at 5.849 states/eV per cell. As for the total moment: 7.85 μB/f.u. As for the density: 5.42 g/cm³. The calculation puts the calculated volume at 19.95 Å³ per atom.

a b c (Å): 4.637 4.637 4.637
angles (deg): 90.00 90.00 90.00
Fractional coordinates of all 5 atoms:
Fe (0.000, 0.000, 0.500)
Rb (0.000, 0.000, 0.000)
Fe (0.500, 0.000, 0.000)
Fe (0.000, 0.500, 0.000)
Ge (0.500, 0.500, 0.500)

---

Tell me which of them is the most stable. Sure, it is <i>.

---

<i>
# Fe2ReGe2

Crystalline Fe2ReGe2 at its relaxed geometry (PBE-GGA, Alexandria).

Values from the calculation:
The density of states at the Fermi level comes out at 3.299 states/eV per cell. As for the total moment: 3.17 μB/f.u. As for the density: 10.52 g/cm³. The calculation puts the calculated volume at 13.99 Å³ per atom.

a b c (Å): 3.487 3.487 6.259
angles (deg): 73.82 73.82 90.00
Fractional coordinates of all 5 atoms:
Ge (0.750, 0.250, 0.500)
Re (0.000, 0.000, 0.000)
Fe (0.600, 0.600, 0.800)
Fe (0.400, 0.400, 0.200)
Ge (0.250, 0.750, 0.500)

---

<ii>
# Fe2ReGe2

Crystalline Fe2ReGe2 at its relaxed geometry (PBE-GGA, Alexandria).

Values from the calculation:
The density of states at the Fermi level comes out at 10.274 states/eV per cell. As for the total moment: 0.00 μB/f.u. As for the density: 11.37 g/cm³. The calculation puts the calculated volume at 12.95 Å³ per atom.

a b c (Å): 6.803 6.803 2.798
angles (deg): 90.00 90.00 90.00
Fractional coordinates of all 10 atoms:
Ge (0.330, 0.170, 0.500)
Ge (0.670, 0.830, 0.500)
Ge (0.170, 0.670, 0.500)
Fe (0.627, 0.127, 0.000)
Fe (0.373, 0.873, 0.000)
Fe (0.873, 0.627, 0.000)
Re (0.000, 0.000, 0.000)
Ge (0.830, 0.330, 0.500)
Re (0.500, 0.500, 0.000)
Fe (0.127, 0.373, 0.000)

---

Tell me which of them is the most stable. Sure, it is <ii>.

---

<i>
# FeReGe2

Crystalline FeReGe2 at its relaxed geometry (PBE-GGA, Alexandria).

Values from the calculation:
The density of states at the Fermi level comes out at 3.979 states/eV per cell. As for the total moment: 2.73 μB/f.u. As for the density: 9.86 g/cm³. The calculation puts the calculated volume at 16.32 Å³ per atom.

a b c (Å): 2.919 2.919 9.004
angles (deg): 80.67 80.67 60.00
Fractional coordinates of all 4 atoms:
Ge (0.091, 0.091, 0.727)
Ge (0.909, 0.909, 0.273)
Re (0.500, 0.500, 0.500)
Fe (0.000, 0.000, 0.000)

---

<ii>
# FeReGe2

Crystalline FeReGe2 at its relaxed geometry (PBE-GGA, Alexandria).

Values from the calculation:
The density of states at the Fermi level comes out at 2.968 states/eV per cell. As for the total moment: 0.56 μB/f.u. As for the density: 11.81 g/cm³. The calculation puts the calculated volume at 13.61 Å³ per atom.

a b c (Å): 4.254 4.254 4.254
angles (deg): 60.00 60.00 60.00
Fractional coordinates of all 4 atoms:
Re (0.500, 0.500, 0.500)
Ge (0.750, 0.750, 0.750)
Ge (0.250, 0.250, 0.250)
Fe (0.000, 0.000, 0.000)

---

Tell me which of them is the most stable. Sure, it is <ii>.